Entry P
The following is a PBE-GGA calculation of a relaxed PmGa4Cu2 crystal, from the Alexandria database.

```
PmGa4Cu2
1.0
-3.235 -2.104 -1.119
-0.095 -3.567 6.985
-4.651 5.651 2.822
Pm Ga Cu
2 8 4
direct
0.500 0.000 0.000
0.000 0.500 0.500
0.000 0.084 0.327
0.000 0.916 0.673
0.500 0.173 0.584
0.500 0.827 0.416
0.500 0.416 0.827
0.500 0.584 0.173
0.000 0.327 0.084
0.000 0.673 0.916
0.000 0.210 0.790
0.000 0.790 0.210
0.500 0.710 0.710
0.500 0.290 0.290
```

Summary:
* DOS(E_F): 0.482 states/eV/atom
* space group: P4_2/mnm, No. 136
* crystal system: tetragonal
* total magnetization: 0.00 μB per cell


Entry Q
The following is a PBE-GGA calculation of a relaxed PmGa4Cu2 crystal, from the Alexandria database.

```
PmGa4Cu2
1.0
-2.792 2.781 -1.805
-4.201 -1.016 4.935
7.121 12.792 8.696
Cu Ga Pm
8 16 4
direct
0.250 0.754 0.536
0.750 0.246 0.464
0.750 0.254 0.964
0.250 0.746 0.036
0.250 0.982 0.780
0.750 0.018 0.220
0.750 0.482 0.720
0.250 0.518 0.280
0.250 0.289 0.692
0.750 0.711 0.308
0.750 0.789 0.808
0.250 0.211 0.192
0.250 0.686 0.684
0.750 0.314 0.316
0.750 0.186 0.816
0.250 0.814 0.184
0.250 0.185 0.534
0.750 0.815 0.466
0.750 0.685 0.966
0.250 0.315 0.034
0.250 0.494 0.425
0.750 0.506 0.575
0.750 0.994 0.075
0.250 0.006 0.925
0.750 0.996 0.636
0.250 0.004 0.364
0.250 0.496 0.864
0.750 0.504 0.136
```

Summary:
* DOS(E_F): 0.335 states/eV/atom
* space group: Pnma, No. 62
* crystal system: orthorhombic
* total magnetization: 0.00 μB per cell


entry Q (7.9 kJ/mol of atoms below the next structure)